Entry 1:
# MgZrTiW, optimized geometry, DFT PBE
data_MgZrTiW
_chemical_formula_sum 'Mg1 Zr1 Ti1 W1'
_space_group_name_H-M_alt 'P 1'
_space_group_IT_number 1
_space_group_name_Hall 'P 1'
_cell_length_a 4.712
_cell_length_b 4.712
_cell_length_c 4.712
_cell_angle_alpha 60.00
_cell_angle_beta 60.00
_cell_angle_gamma 60.00
loop_
_atom_site_label
_atom_site_type_symbol
_atom_site_fract_x
_atom_site_fract_y
_atom_site_fract_z
Mg1 Mg 0.000 0.000 0.000
Zr1 Zr 0.250 0.250 0.250
Ti1 Ti 0.750 0.750 0.750
W1 W 0.500 0.500 0.500
# Formation energy from the elements: 151 meV per atom
# Symmetry: F-43m



Entry 2:
# GeClF2, optimized geometry, DFT PBE
data_GeClF2
_chemical_formula_sum 'Ge2 Cl2 F4'
_space_group_name_H-M_alt 'P 1'
_space_group_IT_number 1
_space_group_name_Hall 'P 1'
_cell_length_a 6.787
_cell_length_b 6.787
_cell_length_c 6.787
_cell_angle_alpha 129.23
_cell_angle_beta 129.23
_cell_angle_gamma 74.63
loop_
_atom_site_label
_atom_site_type_symbol
_atom_site_fract_x
_atom_site_fract_y
_atom_site_fract_z
Ge1 Ge 0.375 0.625 0.750
Ge2 Ge 0.625 0.375 0.250
Cl1 Cl 0.125 0.875 0.250
Cl2 Cl 0.875 0.125 0.750
F1 F 0.000 0.500 0.500
F2 F 0.500 0.000 0.000
F3 F 0.500 0.500 0.000
F4 F 0.500 0.500 0.500
# E_form (uncorrected): -1.21 eV/atom
# Symmetry: I4_1/amd